# SmMg16Al12

A relaxed structure of SmMg16Al12 (PBE, Alexandria).

- Density of states at the Fermi level: 8.038 states/eV per cell
- Energy of formation from the pure elements: -0.072 eV/atom
- Volume: 20.39 Å³/atom

abc: 9.216 9.216 9.216
angles: 109.97 109.97 109.97
Element x y z (fractional)
1 Sm 0.000 0.000 0.000
2 Mg 0.059 0.059 0.657
3 Mg 0.059 0.657 0.059
4 Mg 0.095 0.763 0.763
5 Mg 0.373 0.686 0.979
6 Mg 0.373 0.979 0.686
7 Mg 0.376 0.376 0.376
8 Mg 0.376 0.376 0.718
9 Mg 0.376 0.718 0.376
10 Mg 0.657 0.059 0.059
11 Mg 0.686 0.373 0.979
12 Mg 0.686 0.979 0.373
13 Mg 0.718 0.376 0.376
14 Mg 0.763 0.095 0.763
15 Mg 0.763 0.763 0.095
16 Mg 0.979 0.373 0.686
17 Mg 0.979 0.686 0.373
18 Al 0.009 0.189 0.375
19 Al 0.009 0.375 0.189
20 Al 0.189 0.009 0.375
21 Al 0.189 0.375 0.009
22 Al 0.200 0.562 0.562
23 Al 0.375 0.009 0.189
24 Al 0.375 0.189 0.009
25 Al 0.561 0.744 0.744
26 Al 0.562 0.200 0.562
27 Al 0.562 0.562 0.200
28 Al 0.744 0.561 0.744
29 Al 0.744 0.744 0.561